# CaSc2Cl, optimized geometry, DFT PBE-GGA
data_CaSc2Cl
_symmetry_space_group_name_H-M 'C 1 m 1'
_symmetry_Int_Tables_number 8
_cell_length_a 11.4764
_cell_length_b 3.3342
_cell_length_c 6.1931
_cell_angle_alpha 90.00
_cell_angle_beta 113.67
_cell_angle_gamma 90.00
loop_
_symmetry_equiv_pos_as_xyz
'x,y,z'
'x,-y,z'
'x+1/2,y+1/2,z'
'x+1/2,-y+1/2,z'
loop_
_atom_site_label
_atom_site_type_symbol
_atom_site_fract_x
_atom_site_fract_y
_atom_site_fract_z
Ca1 Ca 0.0000 0.0000 0.0000
Sc1 Sc 0.1765 0.0000 0.6273
Sc2 Sc 0.4254 0.0000 0.4671
Cl1 Cl 0.2248 0.5000 0.2850
# Total energy ... -4.494 eV/atom
# Spin magnetization ... 0.01 μB/cell
# ΔE_f (raw) ... -0.3663 eV/atom